Material: NiSnO2F
Method: DFT, PBE+U
State: optimized geometry

Output
* total DFT energy (no corrections): -23.7 eV for the cell shown
* theoretical density: 6.34 g/cm³

Lattice parameters (Å, degrees): 3.9406 3.9406 3.8538 90.00 90.00 90.00
With the nearest neighbours (Å) after each atom.
Space group P4/mmm (No. 123)
Inequivalent atoms, fractional coordinates:
Ni 0.0000 0.0000 0.0000 [1 per cell]  2 F 1.93, 4 O 1.97
Sn 0.5000 0.5000 0.5000 [1 per cell]  8 O 2.76, 4 F 2.79
O 0.0000 0.5000 0.0000 [2 per cell]  2 Ni 1.97
F 0.0000 0.0000 0.5000 [1 per cell]  2 Ni 1.93